Material: Hf2ScBeFe
Method: DFT, GGA-PBEsol
State: optimized geometry

Results
- M_tot: 2.049 Bohr magnetons per cell
- Density of states at the Fermi level: 10.6 states/eV/cell
- Total DFT energy (no corrections): -7.382 eV per atom
- Formation energy: 733 meV/atom

```
data_Hf2ScBeFe
_cell_length_a 4.578
_cell_length_b 4.578
_cell_length_c 4.599
_cell_angle_alpha 90.00
_cell_angle_beta 90.00
_cell_angle_gamma 90.00
_space_group_name_H-M_alt 'P 4/m m m'
_space_group_IT_number 123
_space_group_name_Hall '-P 4 2'
loop_
_atom_site_label
_atom_site_fract_x
_atom_site_fract_y
_atom_site_fract_z
Hf1 0.000 0.500 0.000
Sc1 0.000 0.000 0.500
Be1 0.000 0.000 0.000
Fe1 0.500 0.500 0.500
```